A relaxed SrNiB2H crystal. Source: Alexandria, functional PBE-GGA.

Unit cell a=3.7073 b=3.7073 c=5.9394 alpha=90.00 beta=90.00 gamma=90.00
With the nearest neighbours (Å) after each atom.
Positions (direct):
Sr 0.0000 0.0000 0.0000  4 H 2.62
Ni 0.0000 0.0000 0.5000  4 B 1.85
B 0.0000 0.5000 0.5000  2 Ni 1.85
B 0.5000 0.0000 0.5000  2 Ni 1.85
H 0.5000 0.5000 0.0000  4 Sr 2.62

## Properties
The crystal system is tetragonal. Its magnetization is 0.000 μB/cell. For the theoretical density, the calculation gives 3.44 g/cm³. The value obtained for the total energy is -4.468 eV per atom.